An optimized crystal structure of Ca2SiSe. Source: Alexandria, functional PBEsol.

Properties
Distance to the lowest polymorph of the same formula: 42 meV per atom
Raw total energy: -4.301 eV per atom
ΔE_f (raw): -835 meV per atom
Spin magnetization: 0.00 μB/f.u.

Cell and atoms, written as CIF:
```
data_Ca2SiSe
_chemical_formula_sum 'Ca2 Si1 Se1'
_space_group_name_H-M_alt 'P m m m'
_space_group_IT_number 47
_space_group_name_Hall '-P 2 2'
_cell_length_a 3.522
_cell_length_b 5.116
_cell_length_c 5.140
_cell_angle_alpha 90.00
_cell_angle_beta 90.00
_cell_angle_gamma 90.00
loop_
_atom_site_label
_atom_site_type_symbol
_atom_site_fract_x
_atom_site_fract_y
_atom_site_fract_z
_atom_site_occupancy
Ca1 Ca 0.000 0.000 0.000 1
Ca2 Ca 0.000 0.500 0.500 1
Si1 Si 0.500 0.000 0.500 1
Se1 Se 0.500 0.500 0.000 1
```

---

An optimized crystal structure of Sr2AlBr. Source: Alexandria, functional PBEsol.

Properties
Distance to the lowest polymorph of the same formula: 0 meV per atom
Raw total energy: -3.122 eV per atom
ΔE_f (raw): -712 meV per atom
Spin magnetization: 0.00 μB/f.u.

Cell and atoms, written as CIF:
```
data_Sr2AlBr
_chemical_formula_sum 'Sr2 Al1 Br1'
_space_group_name_H-M_alt 'P 4/m m m'
_space_group_IT_number 123
_space_group_name_Hall '-P 4 2'
_cell_length_a 4.561
_cell_length_b 4.561
_cell_length_c 6.529
_cell_angle_alpha 90.00
_cell_angle_beta 90.00
_cell_angle_gamma 90.00
loop_
_atom_site_label
_atom_site_type_symbol
_atom_site_fract_x
_atom_site_fract_y
_atom_site_fract_z
_atom_site_occupancy
Sr1 Sr 0.000 0.000 0.000 1
Sr2 Sr 0.500 0.500 0.500 1
Al1 Al 0.000 0.000 0.500 1
Br1 Br 0.500 0.500 0.000 1
```

---

An optimized crystal structure of NiMoBr2. Source: Alexandria, functional PBEsol.

Properties
Distance to the lowest polymorph of the same formula: 641 meV per atom
Raw total energy: -4.315 eV per atom
ΔE_f (raw): 1102 meV per atom
Spin magnetization: 2.13 μB/f.u.

Cell and atoms, written as CIF:
```
data_NiMoBr2
_chemical_formula_sum 'Ni4 Mo4 Br8'
_space_group_name_H-M_alt 'F -4 3 m'
_space_group_IT_number 216
_space_group_name_Hall 'F -4 2 3'
_cell_length_a 6.556
_cell_length_b 6.556
_cell_length_c 6.556
_cell_angle_alpha 90.00
_cell_angle_beta 90.00
_cell_angle_gamma 90.00
loop_
_atom_site_label
_atom_site_type_symbol
_atom_site_fract_x
_atom_site_fract_y
_atom_site_fract_z
_atom_site_occupancy
Ni1 Ni 0.000 0.000 0.000 1
Mo1 Mo 0.250 0.250 0.250 1
Br1 Br 0.000 0.000 0.500 1
Br2 Br 0.250 0.250 0.750 1
```

---

An optimized crystal structure of MnAl2Pb. Source: Alexandria, functional PBEsol.

Properties
Raw total energy: -5.223 eV per atom
Spin magnetization: 2.70 μB/f.u.

Cell and atoms, written as CIF:
```
data_MnAl2Pb
_chemical_formula_sum 'Mn1 Al2 Pb1'
_space_group_name_H-M_alt 'P 4 m m'
_space_group_IT_number 99
_space_group_name_Hall 'P 4 -2'
_cell_length_a 2.972
_cell_length_b 2.972
_cell_length_c 8.282
_cell_angle_alpha 90.00
_cell_angle_beta 90.00
_cell_angle_gamma 90.00
loop_
_atom_site_label
_atom_site_type_symbol
_atom_site_fract_x
_atom_site_fract_y
_atom_site_fract_z
_atom_site_occupancy
Mn1 Mn 0.000 0.000 0.000 1
Al1 Al 0.000 0.000 0.586 1
Al2 Al 0.500 0.500 0.819 1
Pb1 Pb 0.500 0.500 0.257 1
```

---

An optimized crystal structure of NaZnCd3. Source: Alexandria, functional PBEsol.

Properties
Raw total energy: -1.170 eV per atom
Spin magnetization: 0.00 μB/f.u.

Cell and atoms, written as CIF:
```
data_NaZnCd3
_chemical_formula_sum 'Na1 Zn1 Cd3'
_space_group_name_H-M_alt 'P m -3 m'
_space_group_IT_number 221
_space_group_name_Hall '-P 4 2 3'
_cell_length_a 5.009
_cell_length_b 5.009
_cell_length_c 5.009
_cell_angle_alpha 90.00
_cell_angle_beta 90.00
_cell_angle_gamma 90.00
loop_
_atom_site_label
_atom_site_type_symbol
_atom_site_fract_x
_atom_site_fract_y
_atom_site_fract_z
_atom_site_occupancy
Na1 Na 0.000 0.000 0.000 1
Zn1 Zn 0.500 0.500 0.500 1
Cd1 Cd 0.000 0.500 0.500 1
```

---

An optimized crystal structure of KZr2Co. Source: Alexandria, functional PBEsol.

Properties
Distance to the lowest polymorph of the same formula: 2 meV per atom
Raw total energy: -5.701 eV per atom
Spin magnetization: 0.00 μB/f.u.

Cell and atoms, written as CIF:
```
data_KZr2Co
_chemical_formula_sum 'K1 Zr2 Co1'
_space_group_name_H-M_alt 'P 4/m m m'
_space_group_IT_number 123
_space_group_name_Hall '-P 4 2'
_cell_length_a 4.668
_cell_length_b 4.668
_cell_length_c 3.580
_cell_angle_alpha 90.00
_cell_angle_beta 90.00
_cell_angle_gamma 90.00
loop_
_atom_site_label
_atom_site_type_symbol
_atom_site_fract_x
_atom_site_fract_y
_atom_site_fract_z
_atom_site_occupancy
K1 K 0.000 0.000 0.000 1
Zr1 Zr 0.000 0.500 0.500 1
Co1 Co 0.500 0.500 0.000 1
```

---

An optimized crystal structure of Sr2Au. Source: Alexandria, functional PBEsol.

Properties
Raw total energy: -3.003 eV per atom
Spin magnetization: 0.00 μB/f.u.

Cell and atoms, written as CIF:
```
data_Sr2Au
_chemical_formula_sum 'Sr8 Au4'
_space_group_name_H-M_alt 'F m -3 m'
_space_group_IT_number 225
_space_group_name_Hall '-F 4 2 3'
_cell_length_a 7.531
_cell_length_b 7.531
_cell_length_c 7.531
_cell_angle_alpha 90.00
_cell_angle_beta 90.00
_cell_angle_gamma 90.00
loop_
_atom_site_label
_atom_site_type_symbol
_atom_site_fract_x
_atom_site_fract_y
_atom_site_fract_z
_atom_site_occupancy
Sr1 Sr 0.250 0.250 0.250 1
Au1 Au 0.000 0.000 0.000 1
```

---

An optimized crystal structure of RbBTeN2. Source: Alexandria, functional PBEsol.

Properties
Raw total energy: -2.662 eV per atom
ΔE_f (raw): 3062 meV per atom
Spin magnetization: 6.00 μB/f.u.

Cell and atoms, written as CIF:
```
data_RbBTeN2
_chemical_formula_sum 'Rb1 B1 Te1 N2'
_space_group_name_H-M_alt 'P 4/m m m'
_space_group_IT_number 123
_space_group_name_Hall '-P 4 2'
_cell_length_a 5.005
_cell_length_b 5.005
_cell_length_c 7.033
_cell_angle_alpha 90.00
_cell_angle_beta 90.00
_cell_angle_gamma 90.00
loop_
_atom_site_label
_atom_site_type_symbol
_atom_site_fract_x
_atom_site_fract_y
_atom_site_fract_z
_atom_site_occupancy
Rb1 Rb 0.000 0.000 0.000 1
B1 B 0.500 0.500 0.500 1
Te1 Te 0.000 0.000 0.500 1
N1 N 0.000 0.500 0.000 1
```

---

An optimized crystal structure of Tl2AsBr. Source: Alexandria, functional PBEsol.

Properties
Distance to the lowest polymorph of the same formula: 0 meV per atom
Raw total energy: -3.198 eV per atom
ΔE_f (raw): -139 meV per atom
Spin magnetization: 0.00 μB/f.u.

Cell and atoms, written as CIF:
```
data_Tl2AsBr
_chemical_formula_sum 'Tl2 As1 Br1'
_space_group_name_H-M_alt 'P m m 2'
_space_group_IT_number 25
_space_group_name_Hall 'P 2 -2'
_cell_length_a 5.460
_cell_length_b 5.720
_cell_length_c 3.473
_cell_angle_alpha 90.00
_cell_angle_beta 90.00
_cell_angle_gamma 90.00
loop_
_atom_site_label
_atom_site_type_symbol
_atom_site_fract_x
_atom_site_fract_y
_atom_site_fract_z
_atom_site_occupancy
Tl1 Tl 0.000 0.000 0.000 1
Tl2 Tl 0.500 0.500 0.149 1
As1 As 0.000 0.500 0.845 1
Br1 Br 0.500 0.000 0.516 1
```

---

An optimized crystal structure of Ta3Rh5. Source: Alexandria, functional PBEsol.

Properties
Raw total energy: -10.322 eV per atom
Spin magnetization: 0.00 μB/f.u.

Cell and atoms, written as CIF:
```
data_Ta3Rh5
_chemical_formula_sum 'Ta6 Rh10'
_space_group_name_H-M_alt 'C m m m'
_space_group_IT_number 65
_space_group_name_Hall '-C 2 2'
_cell_length_a 7.565
_cell_length_b 8.023
_cell_length_c 3.932
_cell_angle_alpha 90.00
_cell_angle_beta 90.00
_cell_angle_gamma 90.00
loop_
_atom_site_label
_atom_site_type_symbol
_atom_site_fract_x
_atom_site_fract_y
_atom_site_fract_z
_atom_site_occupancy
Ta1 Ta 0.000 0.000 0.000 1
Ta2 Ta 0.000 0.278 0.500 1
Rh1 Rh 0.000 0.500 0.000 1
Rh2 Rh 0.235 0.000 0.500 1
Rh3 Rh 0.250 0.250 0.000 1
```

---

An optimized crystal structure of Ba2YTe. Source: Alexandria, functional PBEsol.

Properties
Raw total energy: -4.130 eV per atom
ΔE_f (raw): -469 meV per atom
Spin magnetization: 2.19 μB/f.u.

Cell and atoms, written as CIF:
```
data_Ba2YTe
_chemical_formula_sum 'Ba6 Y3 Te3'
_space_group_name_H-M_alt 'R -3 m'
_space_group_IT_number 166
_space_group_name_Hall '-R 3 2"'
_cell_length_a 4.3676
_cell_length_b 4.3676
_cell_length_c 32.4756
_cell_angle_alpha 90.00
_cell_angle_beta 90.00
_cell_angle_gamma 120.00
loop_
_atom_site_label
_atom_site_type_symbol
_atom_site_fract_x
_atom_site_fract_y
_atom_site_fract_z
_atom_site_occupancy
Ba1 Ba 0.0000 0.0000 0.2350 1
Y1 Y 0.0000 0.0000 0.0000 1
Te1 Te 0.0000 0.0000 0.5000 1
```

---

An optimized crystal structure of Sc4SiRh. Source: Alexandria, functional PBEsol.

Properties
Raw total energy: -6.470 eV per atom
ΔE_f (raw): 247 meV per atom
Spin magnetization: 0.00 μB/f.u.

Cell and atoms, written as CIF:
```
data_Sc4SiRh
_chemical_formula_sum 'Sc16 Si4 Rh4'
_space_group_name_H-M_alt 'F -4 3 m'
_space_group_IT_number 216
_space_group_name_Hall 'F -4 2 3'
_cell_length_a 7.611
_cell_length_b 7.611
_cell_length_c 7.611
_cell_angle_alpha 90.00
_cell_angle_beta 90.00
_cell_angle_gamma 90.00
loop_
_atom_site_label
_atom_site_type_symbol
_atom_site_fract_x
_atom_site_fract_y
_atom_site_fract_z
_atom_site_occupancy
Sc1 Sc 0.125 0.125 0.125 1
Si1 Si 0.000 0.000 0.500 1
Rh1 Rh 0.250 0.250 0.750 1
```

---

Question: Which of these has the highest raw total energy?
Answer: NaZnCd3

---

Question: Look up the spin magnetization of the ninth one.
Answer: 0.00 μB/f.u.

---

Question: Which value of spin magnetization does entry 12 give?
Answer: 0.00 μB/f.u.